First-principles (PBE-GGA) data for an optimized crystal structure of InSb2P, as listed in the Alexandria database.

## Properties
- space group = F-43m
- relative energy among the computed polymorphs (eV/atom) = 0.264
- crystal system = cubic
- final energy (eV/atom) = -3.74

Cell: 5.1296 5.1296 5.1296 Å, 60.00 60.00 60.00°
With the nearest neighbours (Å) after each atom.
Positions (direct):
Sb1 0.0000 0.0000 0.0000  4 Sb 3.14, 4 P 3.14
Sb2 0.2500 0.2500 0.2500  4 Sb 3.14, 4 In 3.14
In1 0.5000 0.5000 0.5000  4 Sb 3.14, 4 P 3.14
P1 0.7500 0.7500 0.7500  4 In 3.14, 4 Sb 3.14